1.
Below is crystalline Mg2MnBeB at its relaxed geometry, with properties calculated at the PBE level.

abc: 4.992 4.992 4.051
angles: 90.00 90.00 90.00
Space group P4/mmm (No. 123)
Asymmetric unit:
Mg 0.000 0.500 0.000 [2 per cell]
Mn 0.000 0.000 0.000 [1 per cell]
Be 0.000 0.000 0.500 [1 per cell]
B 0.500 0.500 0.500 [1 per cell]

Calculated values
**DFT formation energy**: 1.572 eV/atom

2.
Below is crystalline ZnCdCo2 at its relaxed geometry, with properties calculated at the PBE level.

abc: 5.364 7.597 2.735
angles: 90.00 90.54 90.00
Space group C2/m (No. 12)
Asymmetric unit:
Zn 0.000 0.000 0.000 [2 per cell]
Cd 0.000 0.500 0.000 [2 per cell]
Co 0.250 0.250 0.500 [4 per cell]

Calculated values
**DFT formation energy**: 0.279 eV/atom

3.
Below is crystalline Ti6NO at its relaxed geometry, with properties calculated at the PBE level.

abc: 5.1389 5.1389 14.5277
angles: 90.00 90.00 120.00
Space group R-3 (No. 148, hexagonal axes)
Asymmetric unit:
Ti 0.0027 0.3452 0.2493 [18 per cell]
N 0.0000 0.0000 0.5000 [3 per cell]
O 0.0000 0.0000 0.0000 [3 per cell]

Calculated values
**Formation energy from raw total energies**: -1.185 eV/atom

4.
Below is crystalline HoScIr at its relaxed geometry, with properties calculated at the PBE level.

abc: 3.279 3.279 12.480
angles: 90.00 90.00 90.00
Space group I4mm (No. 107)
Asymmetric unit:
Ho 0.000 0.000 0.000 [2 per cell]
Sc 0.000 0.000 0.267 [2 per cell]
Ir 0.000 0.000 0.645 [2 per cell]

Calculated values
**DFT formation energy**: -0.608 eV/atom

For reference, spin magnetization by record: 2.56; 4.88; 0.00; 0.00 Bohr magnetons per cell.